Tb3WO6: relaxed, PBE with a Hubbard U.

a b c (Å): 5.7167 7.1736 7.1736
angles (deg): 102.63 90.00 90.00
Last column: nearest neighbours and their distance in Å.
Positions (direct):
Tb 0.4652 0.9068 0.6975  6 O 2.24-2.39
Tb 0.9652 0.6975 0.9068  6 O 2.24-2.39
Tb 0.4159 0.4001 0.5999  7 O 2.32-2.45
Tb 0.9159 0.5999 0.4001  7 O 2.32-2.45
Tb 0.9652 0.0932 0.3025  6 O 2.24-2.39
Tb 0.4652 0.3025 0.0932  6 O 2.24-2.39
W 0.9779 0.1928 0.8072  3 O 1.93-2.11
W 0.4779 0.8072 0.1928  3 O 1.93-2.11
O 0.1931 0.6768 0.6409  4 Tb 2.24-2.32
O 0.6931 0.6409 0.6768  4 Tb 2.24-2.32
O 0.2098 0.4242 0.8950  1 W 2.11, 1 Tb 2.34
O 0.7098 0.8950 0.4242  1 W 2.11, 1 Tb 2.34
O 0.2127 0.0416 0.9584  1 W 2.16, 2 Tb 2.39
O 0.6429 0.2143 0.7857  1 W 1.93
O 0.1429 0.7857 0.2143  1 W 1.93
O 0.7127 0.9584 0.0416  1 W 2.16, 2 Tb 2.39
O 0.2098 0.1050 0.5758  1 W 2.11, 1 Tb 2.34
O 0.7098 0.5758 0.1050  1 W 2.11, 1 Tb 2.34
O 0.1931 0.3591 0.3232  4 Tb 2.24-2.32
O 0.6931 0.3232 0.3591  4 Tb 2.24-2.32

Summary:
Magnetic moment ... 0.300 μB/atom
Crystal system ... orthorhombic
Raw total energy ... -8.033 eV per atom
Space-group type ... Cmc2_1